A | ## ZnCu3Ni (PBE)

Data for crystalline ZnCu3Ni at its relaxed geometry.

Cell: 4.134 4.861 7.005 Å, 106.56 90.00 115.17°
Fractional coordinates of all 10 atoms:
Cu 0.652 0.303 0.048
Cu 0.754 0.508 0.755
Cu 0.851 0.702 0.450
Cu 0.348 0.697 0.952
Cu 0.149 0.298 0.550
Cu 0.246 0.492 0.245
Ni 0.051 0.102 0.854
Ni 0.949 0.898 0.146
Zn 0.452 0.904 0.659
Zn 0.548 0.096 0.341

## Properties
Magnetization = 0.00 μB/atom
Space-group type = C2/m (12)
V = 120.92 Å³/cell

B | ## ZnCu3Ni (PBE)

Data for crystalline ZnCu3Ni at its relaxed geometry.

Cell: 4.377 4.377 4.377 Å, 90.00 90.00 90.00°
Fractional coordinates of all 5 atoms:
Cu 0.000 0.500 0.000
Cu 0.000 0.000 0.500
Cu 0.500 0.000 0.000
Zn 0.500 0.500 0.500
Ni 0.000 0.000 0.000

## Properties
Magnetization = 0.00 μB/atom
Space-group type = Pm-3m (221)
V = 83.84 Å³/cell

C | ## ZnCu3Ni (PBE)

Data for crystalline ZnCu3Ni at its relaxed geometry.

Cell: 2.572 6.203 8.218 Å, 108.68 99.00 90.00°
Fractional coordinates of all 10 atoms:
Cu 0.324 0.061 0.648
Cu 0.970 0.171 0.941
Cu 0.228 0.649 0.457
Cu 0.030 0.829 0.059
Cu 0.772 0.351 0.543
Cu 0.676 0.939 0.352
Zn 0.583 0.514 0.165
Zn 0.417 0.486 0.835
Ni 0.869 0.771 0.739
Ni 0.131 0.229 0.261

## Properties
Magnetization = 0.00 μB/atom
Space-group type = C2/m (12)
V = 122.50 Å³/cell

Stability check: which of them is most stable? A.

A | ## ZnCu2Ni6 (PBE)

Data for crystalline ZnCu2Ni6 at its relaxed geometry.

Cell: 5.480 5.480 5.480 Å, 120.00 120.00 89.99°
Each line ends with the local moment (μB).
Fractional coordinates of all 9 atoms:
Ni 0.715 0.715 0.429  0.39
Ni 0.286 0.286 0.000  0.39
Ni 0.285 0.715 0.000  0.39
Ni 0.285 0.285 0.571  0.39
Ni 0.715 0.285 0.000  0.39
Ni 0.714 0.714 0.000  0.39
Cu 0.250 0.750 0.500  -0.01
Cu 0.750 0.250 0.500  -0.01
Zn 0.000 0.000 0.000  -0.03

## Properties
Magnetization = 0.23 μB/atom
Space-group type = Fm-3m (225)
V = 116.37 Å³/cell

B | ## ZnCu2Ni6 (PBE)

Data for crystalline ZnCu2Ni6 at its relaxed geometry.

Cell: 10.188 10.188 14.478 Å, 22.23 22.23 33.07°
Each line ends with the local moment (μB).
Fractional coordinates of all 18 atoms:
Zn 0.967 0.033 0.250  -0.02
Zn 0.033 0.967 0.750  -0.02
Ni 0.285 0.947 0.805  0.36
Ni 0.653 0.502 0.224  0.40
Ni 0.715 0.053 0.195  0.36
Ni 0.947 0.285 0.305  0.36
Ni 0.046 0.610 0.317  0.32
Ni 0.502 0.653 0.724  0.40
Ni 0.347 0.498 0.776  0.40
Ni 0.610 0.046 0.817  0.32
Ni 0.053 0.715 0.695  0.36
Ni 0.498 0.347 0.276  0.40
Ni 0.954 0.390 0.683  0.32
Ni 0.390 0.954 0.183  0.32
Cu 0.269 0.295 0.237  0.01
Cu 0.705 0.731 0.263  0.01
Cu 0.731 0.705 0.763  0.01
Cu 0.295 0.269 0.737  0.01

## Properties
Magnetization = 0.23 μB/atom
Space-group type = C2/c (15)
V = 213.22 Å³/cell

Stability check: which of them is most stable? B.